Computed, not measured: an optimized crystal structure of KBaTa2 at the PBE-GGA level of DFT.

The offset from the most stable computed form comes out at 456 meV per atom. As for the formation enthalpy at 0 K: 1.180 eV/atom. The total magnetization is 0.00 μB/cell. Its crystal system is orthorhombic.

Unit cell a=3.3065 b=6.4267 c=12.2176 alpha=90.00 beta=90.00 gamma=90.00
With the nearest neighbours (Å) after each atom.
Space group Imm2 (No. 44)
Asymmetric unit:
K: 0.0000 0.0000 0.0000 (multiplicity 2)  2 K 3.31, 2 Ta 3.70
Ba: 0.0000 0.5000 0.2024 (multiplicity 2)  2 Ba 3.31
Ta: 0.0000 0.0000 0.4282 (multiplicity 2)  2 Ta 2.54
Ta: 0.0000 0.5000 0.7707 (multiplicity 2)  2 Ta 2.54



Computed, not measured: an optimized crystal structure of LaTlP2Se6 at the PBE-GGA level of DFT.

As for the formation energy (no corrections): -0.700 eV/atom. The total magnetization is 0.00 μB/cell. Its crystal system is monoclinic.

Unit cell a=12.6512 b=7.9307 c=11.9739 alpha=90.00 beta=109.33 gamma=90.00
With the nearest neighbours (Å) after each atom.
Space group P2_1/c (No. 14)
Asymmetric unit:
La: 0.1488 0.1033 0.4040 (multiplicity 4)  9 Se 3.11-3.39
Tl: 0.3710 0.5950 0.6286 (multiplicity 4)  7 Se 3.36-3.62
P: 0.1739 0.5946 0.2469 (multiplicity 4)  3 Se 2.20-2.23, 1 P 2.26
P: 0.2880 0.1178 0.7328 (multiplicity 4)  3 Se 2.19-2.21, 1 P 2.26
Se: 0.0504 0.0298 0.8170 (multiplicity 4)  1 P 2.23
Se: 0.0888 0.6905 0.0651 (multiplicity 4)  1 P 2.22
Se: 0.1703 0.1860 0.1343 (multiplicity 4)  1 P 2.21
Se: 0.2833 0.7153 0.8632 (multiplicity 4)  1 P 2.20
Se: 0.3690 0.2108 0.9152 (multiplicity 4)  1 P 2.21
Se: 0.3853 0.0189 0.6262 (multiplicity 4)  1 P 2.19



Please write out number 1 again, unchanged.
Computed, not measured: an optimized crystal structure of KBaTa2 at the PBE-GGA level of DFT.

The offset from the most stable computed form comes out at 456 meV per atom. As for the formation enthalpy at 0 K: 1.180 eV/atom. The total magnetization is 0.00 μB/cell. Its crystal system is orthorhombic.

Unit cell a=3.3065 b=6.4267 c=12.2176 alpha=90.00 beta=90.00 gamma=90.00
With the nearest neighbours (Å) after each atom.
Space group Imm2 (No. 44)
Asymmetric unit:
K: 0.0000 0.0000 0.0000 (multiplicity 2)  2 K 3.31, 2 Ta 3.70
Ba: 0.0000 0.5000 0.2024 (multiplicity 2)  2 Ba 3.31
Ta: 0.0000 0.0000 0.4282 (multiplicity 2)  2 Ta 2.54
Ta: 0.0000 0.5000 0.7707 (multiplicity 2)  2 Ta 2.54



total magnetization of number 2 (LaTlP2Se6)? 0.00 μB/cell



Please write out number 1 again, unchanged.
Computed, not measured: an optimized crystal structure of KBaTa2 at the PBE-GGA level of DFT.

The offset from the most stable computed form comes out at 456 meV per atom. As for the formation enthalpy at 0 K: 1.180 eV/atom. The total magnetization is 0.00 μB/cell. Its crystal system is orthorhombic.

Unit cell a=3.3065 b=6.4267 c=12.2176 alpha=90.00 beta=90.00 gamma=90.00
With the nearest neighbours (Å) after each atom.
Space group Imm2 (No. 44)
Asymmetric unit:
K: 0.0000 0.0000 0.0000 (multiplicity 2)  2 K 3.31, 2 Ta 3.70
Ba: 0.0000 0.5000 0.2024 (multiplicity 2)  2 Ba 3.31
Ta: 0.0000 0.0000 0.4282 (multiplicity 2)  2 Ta 2.54
Ta: 0.0000 0.5000 0.7707 (multiplicity 2)  2 Ta 2.54